(1)
AcPuSb4 | Alexandria via LeMat-Bulk | PBE | optimized geometry; total magnetic moment = 1.04 μB per atom; SG = F-43m, No. 216
1.0
6.350 0.000 0.000
3.175 5.499 0.000
3.175 1.833 5.185
Sb Ac Pu
4 1 1
Direct
0.626 0.626 0.123
0.626 0.123 0.626
0.123 0.626 0.626
0.626 0.626 0.626
0.250 0.250 0.250
0.000 0.000 0.000

(2)
AcPuSb | Alexandria via LeMat-Bulk | PBE | optimized geometry; total magnetic moment = 2.33 μB per atom; SG = P3m1, No. 156
1.0
-2.442 -0.881 3.265
1.732 -5.007 -0.055
2.538 3.649 2.883
Sb Pu Ac
1 1 1
Direct
0.499 0.667 0.333
0.501 0.333 0.667
0.000 0.000 0.000

(3)
AcPuSb2 | Alexandria via LeMat-Bulk | PBE | optimized geometry; total magnetic moment = 1.46 μB per atom; SG = P4/mmm, No. 123
1.0
-3.220 -1.084 -0.739
1.862 -1.915 -5.300
1.246 -5.304 2.354
Sb Pu Ac
2 1 1
Direct
0.000 0.500 0.000
0.000 0.000 0.500
0.500 0.000 0.000
0.500 0.500 0.500

(4)
AcPu2Sb | Alexandria via LeMat-Bulk | PBE | optimized geometry; total magnetic moment = 3.40 μB per atom; SG = Fm-3m, No. 225
1.0
-0.242 5.382 -0.992
-1.599 3.444 3.949
3.632 3.379 2.323
Pu Sb Ac
2 1 1
Direct
0.250 0.250 0.250
0.750 0.750 0.750
0.500 0.500 0.500
0.000 0.000 0.000

(5)
Ac5PuSb6 | Alexandria via LeMat-Bulk | PBE | optimized geometry; total magnetic moment = 0.42 μB per atom; SG = C2/m, No. 12
1.0
8.081 -0.121 -1.510
-4.362 6.803 -1.510
0.143 0.258 8.220
Sb Ac Pu
6 5 1
Direct
0.402 0.080 0.242
0.080 0.402 0.242
0.920 0.598 0.758
0.598 0.920 0.758
0.760 0.760 0.245
0.240 0.240 0.755
0.830 0.170 0.500
0.334 0.666 0.000
0.500 0.500 0.500
0.666 0.334 0.000
0.170 0.830 0.500
0.000 0.000 0.000

(6)
AcPuSb | Alexandria via LeMat-Bulk | PBE | optimized geometry; total magnetic moment = 2.21 μB per atom; SG = I4mm, No. 107
1.0
-2.232 -2.422 2.608
-1.074 -2.477 -3.219
5.965 -0.571 1.191
Ac Pu Sb
1 1 1
Direct
0.991 0.991 0.982
0.688 0.688 0.376
0.321 0.321 0.643

(7)
AcPuSb | Alexandria via LeMat-Bulk | PBE | optimized geometry; total magnetic moment = 2.45 μB per atom; SG = F-43m, No. 216
1.0
-3.300 -2.111 3.745
1.738 -0.638 5.093
-1.975 3.140 3.950
Sb Pu Ac
1 1 1
Direct
0.250 0.250 0.250
0.000 0.000 0.000
0.500 0.500 0.500

(8)
Ac2PuSb3 | Alexandria via LeMat-Bulk | PBE | optimized geometry; total magnetic moment = 0.83 μB per atom; SG = Fddd, No. 70
1.0
-5.832 -1.727 5.360
2.287 -6.785 -3.804
11.515 2.003 9.097
Sb Ac Pu
12 8 4
Direct
0.396 0.413 0.327
0.663 0.146 0.827
0.085 0.069 0.673
0.233 0.233 0.000
0.931 0.915 0.327
0.319 0.835 0.173
0.483 0.983 0.500
0.767 0.767 0.000
0.017 0.517 0.500
0.587 0.604 0.673
0.165 0.681 0.827
0.854 0.337 0.173
0.252 0.252 0.504
0.582 0.582 0.164
0.418 0.418 0.836
0.832 0.332 0.664
0.668 0.168 0.336
0.502 0.002 0.004
0.748 0.748 0.496
0.998 0.498 0.996
0.084 0.084 0.167
0.916 0.916 0.833
0.334 0.834 0.667
0.166 0.666 0.333

| no. | formation energy from raw total energies (eV/atom) |
| --- | --- |
| 1 | -0.2692 |
| 2 | -0.3060 |
| 3 | -0.7012 |
| 4 | -0.0497 |
| 5 | -1.0863 |
| 6 | -0.4435 |
| 7 | -0.2941 |
| 8 | -0.9780 |